The following is a PBE calculation of an optimized crystal structure of Ca2ZrRe2, from Alexandria via LeMat-Bulk.

Lattice parameters (Å, degrees): 4.9787 4.9787 8.7602 90.00 90.00 90.00
Fractional positions:
1 Ca 0.0000 0.0000 0.1408
2 Ca 0.0000 0.0000 0.8592
3 Ca 0.5000 0.5000 0.3592
4 Ca 0.5000 0.5000 0.6408
5 Zr 0.0000 0.0000 0.5000
6 Zr 0.5000 0.5000 0.0000
7 Re 0.0000 0.5000 0.2500
8 Re 0.0000 0.5000 0.7500
9 Re 0.5000 0.0000 0.2500
10 Re 0.5000 0.0000 0.7500

Values from the calculation:
E (eV/atom): -5.9739
DOS at the Fermi energy (states/eV per cell): 14.62

=====

The following is a PBE calculation of an optimized crystal structure of CaZrRe2, from Alexandria via LeMat-Bulk.

Lattice parameters (Å, degrees): 3.3224 4.6904 9.5413 90.00 90.00 90.00
Fractional positions:
1 Ca 0.0000 0.0000 0.0000
2 Ca 0.5000 0.5000 0.0000
3 Zr 0.0000 0.0000 0.5000
4 Zr 0.5000 0.5000 0.5000
5 Re 0.0000 0.5000 0.2652
6 Re 0.0000 0.5000 0.7348
7 Re 0.5000 0.0000 0.2652
8 Re 0.5000 0.0000 0.7348

Values from the calculation:
Energy above the lowest structure with this stoichiometry (meV/atom): 219
E (eV/atom): -8.4451
DOS at the Fermi energy (states/eV per cell): 6.29

=====

The following is a PBE calculation of an optimized crystal structure of CaZr3Re, from Alexandria via LeMat-Bulk.

Lattice parameters (Å, degrees): 5.1784 5.1784 5.1784 90.00 90.00 90.00
Fractional positions:
1 Ca 0.0000 0.0000 0.0000
2 Zr 0.0000 0.5000 0.5000
3 Zr 0.5000 0.0000 0.5000
4 Zr 0.5000 0.5000 0.0000
5 Re 0.5000 0.5000 0.5000

Values from the calculation:
Energy above the lowest structure with this stoichiometry (meV/atom): 0
E (eV/atom): -7.6446
DOS at the Fermi energy (states/eV per cell): 11.70

=====

The following is a PBE calculation of an optimized crystal structure of CaZrRe4, from Alexandria via LeMat-Bulk.

Lattice parameters (Å, degrees): 5.3567 5.3567 5.3567 60.00 60.00 60.00
Fractional positions:
1 Ca 0.0000 0.0000 0.0000
2 Zr 0.2500 0.2500 0.2500
3 Re 0.1253 0.6249 0.6249
4 Re 0.6249 0.1253 0.6249
5 Re 0.6249 0.6249 0.1253
6 Re 0.6249 0.6249 0.6249

Values from the calculation:
E (eV/atom): -10.1093
DOS at the Fermi energy (states/eV per cell): 3.96

=====

Q: Among the records above, which one has the highest E?
A: Ca2ZrRe2

=====

Q: Among the records above, which one has the lowest DOS at the Fermi energy?
A: CaZrRe4

=====

Q: Which of these has the highest DOS at the Fermi energy?
A: Ca2ZrRe2

=====

Q: Among the records above, which one has the highest DOS at the Fermi energy?
A: Ca2ZrRe2